No. 1
# GGA-PBEsol RuRh2Se, relaxed
data_RuRh2Se
_chemical_formula_sum 'Ru3 Rh6 Se3'
_symmetry_space_group_name_H-M 'R 3 m'
_symmetry_Int_Tables_number 160
_symmetry_space_group_name_Hall 'R 3 -2"'
_cell_length_a 2.8107
_cell_length_b 2.8107
_cell_length_c 24.7639
_cell_angle_alpha 90.00
_cell_angle_beta 90.00
_cell_angle_gamma 120.00
loop_
_atom_site_label
_atom_site_fract_x
_atom_site_fract_y
_atom_site_fract_z
_atom_site_occupancy
Ru1 0.0000 0.0000 0.0000 1
Rh1 0.0000 0.0000 0.2481 1
Rh2 0.0000 0.0000 0.4936 1
Se1 0.0000 0.0000 0.7448 1
# - Formation energy (no corrections): 0.1767 eV/atom
# - Crystal system: trigonal

=====

No. 2
# GGA-PBEsol RuRh2Se, relaxed
data_RuRh2Se
_chemical_formula_sum 'Ru1 Rh2 Se1'
_symmetry_space_group_name_H-M 'P m m m'
_symmetry_Int_Tables_number 47
_cell_length_a 2.810
_cell_length_b 4.486
_cell_length_c 4.490
_cell_angle_alpha 90.00
_cell_angle_beta 90.00
_cell_angle_gamma 90.00
loop_
_symmetry_equiv_pos_as_xyz
'x,y,z'
'-x,-y,-z'
'-x,-y,z'
'x,y,-z'
'x,-y,-z'
'-x,y,z'
'-x,y,-z'
'x,-y,z'
loop_
_atom_site_label
_atom_site_fract_x
_atom_site_fract_y
_atom_site_fract_z
_atom_site_occupancy
Ru1 0.000 0.000 0.000 1
Rh1 0.000 0.500 0.500 1
Rh2 0.500 0.000 0.500 1
Se1 0.500 0.500 0.000 1
# - Formation energy (no corrections): 0.2855 eV/atom
# - Crystal system: orthorhombic

=====

No. 3
# GGA-PBEsol SiRuRh2, relaxed
data_SiRuRh2
_chemical_formula_sum 'Si2 Ru2 Rh4'
_symmetry_space_group_name_H-M 'C 1 m 1'
_symmetry_Int_Tables_number 8
_cell_length_a 9.616
_cell_length_b 2.788
_cell_length_c 4.282
_cell_angle_alpha 90.00
_cell_angle_beta 113.65
_cell_angle_gamma 90.00
loop_
_symmetry_equiv_pos_as_xyz
'x,y,z'
'x,-y,z'
'x+1/2,y+1/2,z'
'x+1/2,-y+1/2,z'
loop_
_atom_site_label
_atom_site_fract_x
_atom_site_fract_y
_atom_site_fract_z
_atom_site_occupancy
Si1 0.000 0.000 0.000 1
Ru1 0.217 0.500 0.230 1
Rh1 0.284 0.000 0.789 1
Rh2 0.497 0.000 0.500 1
# - Formation energy (no corrections): -0.3603 eV/atom
# - Crystal system: monoclinic

=====

No. 4
# GGA-PBEsol SiRuRh2, relaxed
data_SiRuRh2
_chemical_formula_sum 'Si2 Ru2 Rh4'
_symmetry_space_group_name_H-M 'I m m m'
_symmetry_Int_Tables_number 71
_symmetry_space_group_name_Hall '-I 2 2'
_cell_length_a 2.911
_cell_length_b 4.219
_cell_length_c 8.523
_cell_angle_alpha 90.00
_cell_angle_beta 90.00
_cell_angle_gamma 90.00
loop_
_atom_site_label
_atom_site_fract_x
_atom_site_fract_y
_atom_site_fract_z
_atom_site_occupancy
Si1 0.000 0.000 0.000 1
Ru1 0.000 0.000 0.500 1
Rh1 0.000 0.500 0.280 1
# - Formation energy (no corrections): -0.3260 eV/atom
# - Crystal system: orthorhombic

=====

No. 5
# GGA-PBEsol SiRuRh2, relaxed
data_SiRuRh2
_chemical_formula_sum 'Si2 Ru2 Rh4'
_symmetry_space_group_name_H-M 'I 4/m m m'
_symmetry_Int_Tables_number 139
_symmetry_space_group_name_Hall '-I 4 2'
_cell_length_a 3.743
_cell_length_b 3.743
_cell_length_c 7.434
_cell_angle_alpha 90.00
_cell_angle_beta 90.00
_cell_angle_gamma 90.00
loop_
_atom_site_label
_atom_site_fract_x
_atom_site_fract_y
_atom_site_fract_z
_atom_site_occupancy
Si1 0.000 0.000 0.000 1
Ru1 0.000 0.000 0.500 1
Rh1 0.000 0.500 0.250 1
# - Formation energy (no corrections): -0.3547 eV/atom
# - Crystal system: tetragonal

=====

No. 6
# GGA-PBEsol SiRuRh2, relaxed
data_SiRuRh2
_chemical_formula_sum 'Si3 Ru3 Rh6'
_symmetry_space_group_name_H-M 'R -3 m'
_symmetry_Int_Tables_number 166
_symmetry_space_group_name_Hall '-R 3 2"'
_cell_length_a 2.7243
_cell_length_b 2.7243
_cell_length_c 24.4606
_cell_angle_alpha 90.00
_cell_angle_beta 90.00
_cell_angle_gamma 120.00
loop_
_atom_site_label
_atom_site_fract_x
_atom_site_fract_y
_atom_site_fract_z
_atom_site_occupancy
Si1 0.0000 0.0000 0.0000 1
Ru1 0.0000 0.0000 0.5000 1
Rh1 0.0000 0.0000 0.2567 1
# - Formation energy (no corrections): -0.2761 eV/atom
# - Crystal system: trigonal